Compound: FeC2
Source: Alexandria via LeMat-Bulk
Functional: PBE
Structure: relaxed

```
FeC2
1.0
2.499 0.000 0.000
0.000 7.734 0.000
0.000 0.000 2.575
Fe C
2 4
direct
0.000 0.000 0.000
0.500 0.500 0.000
0.000 0.203 0.500
0.000 0.797 0.500
0.500 0.297 0.500
0.500 0.703 0.500
```

Energy of formation = 681.0 meV per atom
DOS at the Fermi energy = 0.598 states/eV per atom
Energy above the lowest structure with this stoichiometry = 15.71 kJ per mole of atoms
Magnetic moment = 1.58 μB/f.u.